No. 1
The following is a DFT calculation (GGA-PBE) of crystalline In5Br4F3 at its relaxed geometry.

Values from the calculation:
**E_form (uncorrected)**: -1.26 eV/atom

a b c (Å): 4.3870 8.4522 10.3483
angles (deg): 91.42 102.16 104.61
Last column: nearest neighbours and their distance in Å.
Element x y z (fractional)
In  0.0000  0.0000  0.0000  4 F 2.16-2.19
In  0.3247  0.3708  0.2868  1 F 2.41
In  0.4049  0.1199  0.6967  3 F 2.96-3.30, 1 Br 3.30
In  0.5951  0.8801  0.3033  3 F 2.96-3.30, 1 Br 3.30
In  0.6753  0.6292  0.7132  1 F 2.41
Br  0.1149  0.3015  0.9355  1 In 2.60
Br  0.1451  0.7587  0.5259  5 In 3.14-3.36
Br  0.8549  0.2413  0.4741  5 In 3.14-3.36
Br  0.8851  0.6985  0.0645  1 In 2.60
F  0.1447  0.0850  0.2076  2 In 2.16-2.41
F  0.5000  0.0000  0.0000  2 In 2.19
F  0.8553  0.9150  0.7924  2 In 2.16-2.41

---

No. 2
The following is a DFT calculation (GGA-PBE) of crystalline RbSbSeCl2 at its relaxed geometry.

Values from the calculation:
**E_form (uncorrected)**: -0.95 eV/atom
**Excess energy over the best structure of this formula in the dataset**: 0 meV per atom

a b c (Å): 5.5037 5.5037 5.3961
angles (deg): 90.00 90.00 90.00
Last column: nearest neighbours and their distance in Å.
Element x y z (fractional)
Rb  0.0000  0.0000  0.0000  8 Cl 3.85, 4 Se 3.89
Sb  0.5000  0.5000  0.5000  2 Se 2.70, 4 Cl 2.75
Se  0.5000  0.5000  0.0000  2 Sb 2.70
Cl  0.0000  0.5000  0.5000  2 Sb 2.75
Cl  0.5000  0.0000  0.5000  2 Sb 2.75

---

No. 3
The following is a DFT calculation (GGA-PBE) of crystalline Ca2AuC at its relaxed geometry.

Values from the calculation:
**Total DFT energy (no corrections)**: -30.8 eV/cell

a b c (Å): 6.3387 6.3387 6.3387
angles (deg): 111.07 111.07 106.32
Last column: nearest neighbours and their distance in Å.
Element x y z (fractional)
Ca  0.0574  0.6250  0.9324  2 C 2.42
Ca  0.3750  0.3074  0.4324  2 C 2.42
Ca  0.6926  0.1250  0.0676  2 C 2.42
Ca  0.8750  0.9426  0.5676  2 C 2.42
Au  0.2500  0.7500  0.5000  4 Ca 3.05
Au  0.5000  0.5000  0.0000  4 Ca 3.05
C  0.0000  0.0000  0.0000  4 Ca 2.42
C  0.7500  0.2500  0.5000  4 Ca 2.42

---

No. 4
The following is a DFT calculation (GGA-PBE) of crystalline Sb2TeSe at its relaxed geometry.

Values from the calculation:
**E_form (uncorrected)**: 0.02 eV/atom
**Excess energy over the best structure of this formula in the dataset**: 51 meV per atom

a b c (Å): 5.3374 5.3374 5.3374
angles (deg): 109.89 109.89 108.64
Last column: nearest neighbours and their distance in Å.
Element x y z (fractional)
Sb  0.0000  0.5000  0.5000  2 Se 3.07, 2 Te 3.07, 2 Sb 3.11
Sb  0.5000  0.0000  0.5000  2 Se 3.07, 2 Te 3.07, 2 Sb 3.11
Te  0.0000  0.0000  0.0000  4 Sb 3.07, 2 Se 3.11
Se  0.5000  0.5000  0.0000  4 Sb 3.07, 2 Te 3.11

---

No. 5
The following is a DFT calculation (GGA-PBE) of crystalline Li6InPb3 at its relaxed geometry.

Values from the calculation:
**Total DFT energy (no corrections)**: -56.3 eV/cell

a b c (Å): 8.2855 4.9299 10.9055
angles (deg): 90.00 110.75 90.00
Last column: nearest neighbours and their distance in Å.
Element x y z (fractional)
Li  0.0472  0.2500  0.4282  4 Li 2.95-3.18, 7 Pb 2.96-3.22
Li  0.1770  0.7500  0.1867  1 In 2.93, 5 Li 3.01-3.24, 5 Pb 3.01-3.08
Li  0.2463  0.2500  0.0186  3 In 2.94-3.02, 4 Pb 2.96-3.11, 4 Li 3.24-3.27
Li  0.3420  0.2500  0.3368  8 Li 2.95-3.27, 4 Pb 3.02-3.26
Li  0.3561  0.7500  0.7797  3 In 3.04-3.05, 4 Pb 3.05-3.16, 5 Li 3.14-3.31
Li  0.4329  0.2500  0.6309  4 Pb 2.96-3.02, 1 In 2.99, 7 Li 3.02-3.18
Li  0.5671  0.7500  0.3691  4 Pb 2.96-3.02, 1 In 2.99, 7 Li 3.02-3.18
Li  0.6439  0.2500  0.2203  3 In 3.04-3.05, 4 Pb 3.05-3.16, 5 Li 3.14-3.31
Li  0.6580  0.7500  0.6632  8 Li 2.95-3.27, 4 Pb 3.02-3.26
Li  0.7537  0.7500  0.9814  3 In 2.94-3.02, 4 Pb 2.96-3.11, 4 Li 3.24-3.27
Li  0.8230  0.2500  0.8133  1 In 2.93, 5 Li 3.01-3.24, 5 Pb 3.01-3.08
Li  0.9528  0.7500  0.5718  4 Li 2.95-3.18, 7 Pb 2.96-3.22
In  0.4519  0.7500  0.0760  8 Li 2.93-3.05, 2 In 3.22, 1 Pb 3.27
In  0.5481  0.2500  0.9240  8 Li 2.93-3.05, 2 In 3.22, 1 Pb 3.27
Pb  0.0456  0.7500  0.8847  9 Li 2.96-3.26, 1 In 3.27, 2 Pb 3.29
Pb  0.1236  0.2500  0.7143  8 Li 2.96-3.11, 3 Pb 3.29-3.31
Pb  0.2848  0.7500  0.4836  11 Li 2.96-3.22, 1 Pb 3.31
Pb  0.7152  0.2500  0.5164  11 Li 2.96-3.22, 1 Pb 3.31
Pb  0.8764  0.7500  0.2857  8 Li 2.96-3.11, 3 Pb 3.29-3.31
Pb  0.9544  0.2500  0.1153  9 Li 2.96-3.26, 1 In 3.27, 2 Pb 3.29

---

No. 6
The following is a DFT calculation (GGA-PBE) of crystalline Tb6Sm3Dy at its relaxed geometry.

Values from the calculation:
**Excess energy over the best structure of this formula in the dataset**: 79 meV per atom

a b c (Å): 6.6472 6.6472 9.6014
angles (deg): 110.46 110.46 59.77
Last column: nearest neighbours and their distance in Å.
Element x y z (fractional)
Tb  0.0609  0.5661  0.1911  3 Tb 3.28-3.36, 3 Sm 3.28-3.37
Tb  0.1364  0.1364  0.4220  1 Dy 3.71, 9 Tb 3.85-4.11, 6 Sm 3.87-3.95
Tb  0.4339  0.9391  0.8089  3 Tb 3.28-3.36, 3 Sm 3.28-3.37
Tb  0.5661  0.0609  0.1911  3 Tb 3.28-3.36, 3 Sm 3.28-3.37
Tb  0.8636  0.8636  0.5780  1 Dy 3.71, 9 Tb 3.85-4.11, 6 Sm 3.87-3.95
Tb  0.9391  0.4339  0.8089  3 Tb 3.28-3.36, 3 Sm 3.28-3.37
Sm  0.4318  0.4318  0.8053  4 Tb 3.28-3.37, 2 Sm 3.33-3.42
Sm  0.5000  0.5000  0.5000  2 Sm 3.33, 4 Tb 3.33
Sm  0.5682  0.5682  0.1947  4 Tb 3.28-3.37, 2 Sm 3.33-3.42
Dy  0.0000  0.0000  0.0000  10 Tb 3.71-3.73, 4 Sm 3.73

---

No. 7
The following is a DFT calculation (GGA-PBE) of crystalline FeNi2Os at its relaxed geometry.

Values from the calculation:
**Excess energy over the best structure of this formula in the dataset**: 132 meV per atom

a b c (Å): 4.0885 4.0885 4.0885
angles (deg): 60.00 60.00 60.00
Last column: nearest neighbours and their distance in Å.
Element x y z (fractional)
Fe  0.0000  0.0000  0.0000  4 Ni 2.50, 4 Os 2.50
Ni  0.5000  0.5000  0.5000  4 Os 2.50, 4 Ni 2.50
Ni  0.7500  0.7500  0.7500  4 Ni 2.50, 4 Fe 2.50
Os  0.2500  0.2500  0.2500  4 Ni 2.50, 4 Fe 2.50

---

No. 8
The following is a DFT calculation (GGA-PBE) of crystalline Pr2Er3Tl6 at its relaxed geometry.

Values from the calculation:
**Total DFT energy (no corrections)**: -35.5 eV/cell

a b c (Å): 12.1576 12.1576 12.1576
angles (deg): 151.54 151.54 40.68
Last column: nearest neighbours and their distance in Å.
Element x y z (fractional)
Pr  0.0850  0.0850  0.0000  5 Tl 3.01-3.23
Pr  0.9150  0.9150  0.0000  5 Tl 3.01-3.23
Er  0.3625  0.3625  0.0000  5 Tl 3.10-3.37, 1 Er 3.13
Er  0.5000  0.5000  0.0000  2 Er 3.13, 8 Tl 3.38
Er  0.6375  0.6375  0.0000  5 Tl 3.10-3.37, 1 Er 3.13
Tl  0.0688  0.5688  0.5000  2 Pr 3.01, 1 Tl 3.14
Tl  0.2265  0.2265  0.0000  1 Er 3.10, 1 Pr 3.23
Tl  0.4312  0.9312  0.5000  2 Pr 3.01, 1 Tl 3.14
Tl  0.5688  0.0688  0.5000  2 Pr 3.01, 1 Tl 3.14
Tl  0.7735  0.7735  0.0000  1 Er 3.10, 1 Pr 3.23
Tl  0.9312  0.4312  0.5000  2 Pr 3.01, 1 Tl 3.14

---

Number 1: N(E_F) 0.00 states/eV per atom. Number 2: N(E_F) 0.26 states/eV per atom. Number 3: N(E_F) 0.29 states/eV per atom. Number 4: N(E_F) 0.64 states/eV per atom. Number 5: N(E_F) 0.22 states/eV per atom. Number 6: N(E_F) 1.83 states/eV per atom. Number 7: N(E_F) 0.79 states/eV per atom. Number 8: N(E_F) 1.17 states/eV per atom.